{
  "formula": "Cs5KCd2",
  "functional": "PBE",
  "state": "relaxed",
  "lattice_angstrom": [[-5.260, 5.260, 11.096], [5.260, -5.260, 11.096], [5.260, 5.260, -11.096]],
  "species": ["Cs", "Cs", "Cs", "Cs", "Cs", "Cs", "Cs", "Cs", "Cs", "Cs", "K", "K", "Cd", "Cd", "Cd", "Cd"],
  "frac_coords": [[0.000, 0.000, 0.000], [0.044, 0.544, 0.840], [0.203, 0.044, 0.500], [0.297, 0.797, 0.840], [0.456, 0.297, 0.500], [0.500, 0.500, 0.000], [0.544, 0.703, 0.500], [0.703, 0.203, 0.160], [0.797, 0.956, 0.500], [0.956, 0.456, 0.160], [0.250, 0.250, 0.000], [0.750, 0.750, 0.000], [0.103, 0.397, 0.500], [0.397, 0.897, 0.293], [0.603, 0.103, 0.707], [0.897, 0.603, 0.500]],
  "crystal_system": "tetragonal",
  "delta_e_f_kj_per_mol_fu": -10,
  "sg": "I4/mcm, No. 140"
}